1) VASP calculation (GGA-PBE) on ScAlNiPt after structural relaxation. Values from VASP.

Cell and atoms, written as Quantum ESPRESSO input:
```
&SYSTEM
  ibrav = 0, nat = 4, ntyp = 4
/
ATOMIC_SPECIES
Pt 195.08 Pt.upf
Sc 44.96 Sc.upf
Ni 58.69 Ni.upf
Al 26.98 Al.upf
CELL_PARAMETERS angstrom
0.000 3.145 3.145
3.145 0.000 3.145
3.145 3.145 0.000
ATOMIC_POSITIONS crystal
Pt 0.500 0.500 0.500
Sc 0.250 0.250 0.250
Ni 0.750 0.750 0.750
Al 0.000 0.000 0.000
```

2) VASP calculation (GGA-PBE) on ScAlNiPt after structural relaxation. Values from VASP.

Cell and atoms, written as Quantum ESPRESSO input:
```
&SYSTEM
  ibrav = 0, nat = 4, ntyp = 4
/
ATOMIC_SPECIES
Pt 195.08 Pt.upf
Sc 44.96 Sc.upf
Ni 58.69 Ni.upf
Al 26.98 Al.upf
CELL_PARAMETERS angstrom
0.000 3.118 3.118
3.118 0.000 3.118
3.118 3.118 0.000
ATOMIC_POSITIONS crystal
Pt 0.250 0.250 0.250
Sc 0.500 0.500 0.500
Ni 0.750 0.750 0.750
Al 0.000 0.000 0.000
```

Most stable structure among those shown: 2). Next: +0.343 eV/atom.